Entry 1:
Li2Zn4Ga3: optimized geometry, PBE.

```
data_Li2Zn4Ga3
_symmetry_space_group_name_H-M 'P 1'
_symmetry_Int_Tables_number 1
_cell_length_a 4.7433
_cell_length_b 4.7433
_cell_length_c 8.4455
_cell_angle_alpha 104.34
_cell_angle_beta 104.34
_cell_angle_gamma 50.94
loop_
_symmetry_equiv_pos_as_xyz
'x,y,z'
loop_
_atom_site_label
_atom_site_fract_x
_atom_site_fract_y
_atom_site_fract_z
Li1 0.1629 0.1629 0.2200
Li2 0.8371 0.8371 0.7800
Zn1 0.1676 0.1676 0.8917
Zn2 0.4986 0.4986 0.3299
Zn3 0.5014 0.5014 0.6701
Zn4 0.8324 0.8324 0.1083
Ga1 0.1689 0.1689 0.5684
Ga2 0.5000 0.5000 0.0000
Ga3 0.8311 0.8311 0.4316
```

Results
Final energy = -2.1307 eV/atom
V = 141.88 Å³ per cell
Total magnetic moment = 0.0 μB per cell
DOS(E_F) = 2.3 states/eV/f.u.
Excess energy over the best structure of this formula in the dataset = 0.000 eV/atom

Entry 2:
LiZn6Ga8: optimized geometry, PBE.

```
data_LiZn6Ga8
_symmetry_space_group_name_H-M 'P 1'
_symmetry_Int_Tables_number 1
_cell_length_a 7.6174
_cell_length_b 7.6174
_cell_length_c 5.5220
_cell_angle_alpha 90.00
_cell_angle_beta 90.00
_cell_angle_gamma 120.00
loop_
_symmetry_equiv_pos_as_xyz
'x,y,z'
loop_
_atom_site_label
_atom_site_fract_x
_atom_site_fract_y
_atom_site_fract_z
Li1 0.0000 0.0000 0.0000
Zn1 0.0007 0.6618 0.8140
Zn2 0.3382 0.3389 0.8140
Zn3 0.3389 0.0007 0.1860
Zn4 0.6611 0.9993 0.8140
Zn5 0.6618 0.6611 0.1860
Zn6 0.9993 0.3382 0.1860
Ga1 0.0006 0.6744 0.3324
Ga2 0.3262 0.0006 0.6676
Ga3 0.3256 0.3262 0.3324
Ga4 0.3333 0.6667 0.0012
Ga5 0.6667 0.3333 0.9988
Ga6 0.6744 0.6738 0.6676
Ga7 0.6738 0.9994 0.3324
Ga8 0.9994 0.3256 0.6676
```

Results
Final energy = -2.2215 eV/atom
V = 277.49 Å³ per cell
Total magnetic moment = 0.0 μB per cell
DOS(E_F) = 3.5 states/eV/f.u.
Excess energy over the best structure of this formula in the dataset = 0.000 eV/atom

Entry 3:
Li8Zn3Ga2: optimized geometry, PBE.

```
data_Li8Zn3Ga2
_symmetry_space_group_name_H-M 'P 1'
_symmetry_Int_Tables_number 1
_cell_length_a 6.9009
_cell_length_b 6.9009
_cell_length_c 5.2338
_cell_angle_alpha 97.00
_cell_angle_beta 97.00
_cell_angle_gamma 67.36
loop_
_symmetry_equiv_pos_as_xyz
'x,y,z'
loop_
_atom_site_label
_atom_site_fract_x
_atom_site_fract_y
_atom_site_fract_z
Li1 0.0661 0.6904 0.0461
Li2 0.0947 0.0947 0.3926
Li3 0.3020 0.3020 0.6977
Li4 0.3096 0.9339 0.9539
Li5 0.6904 0.0661 0.0461
Li6 0.6980 0.6980 0.3023
Li7 0.9053 0.9053 0.6074
Li8 0.9339 0.3096 0.9539
Zn1 0.3234 0.6766 0.5000
Zn2 0.5000 0.5000 0.0000
Zn3 0.6766 0.3234 0.5000
Ga1 0.3126 0.3126 0.2144
Ga2 0.6874 0.6874 0.7856
```

Results
Final energy = -2.0335 eV/atom
V = 227.55 Å³ per cell
Total magnetic moment = 0.0 μB per cell
DOS(E_F) = 5.4 states/eV/f.u.
Excess energy over the best structure of this formula in the dataset = 0.059 eV/atom

Entry 4:
Li3ZnGa: optimized geometry, PBE.

```
data_Li3ZnGa
_symmetry_space_group_name_H-M 'P 1'
_symmetry_Int_Tables_number 1
_cell_length_a 8.0835
_cell_length_b 8.0835
_cell_length_c 9.1954
_cell_angle_alpha 116.40
_cell_angle_beta 116.40
_cell_angle_gamma 18.85
loop_
_symmetry_equiv_pos_as_xyz
'x,y,z'
loop_
_atom_site_label
_atom_site_fract_x
_atom_site_fract_y
_atom_site_fract_z
Li1 0.0691 0.0691 0.1391
Li2 0.0886 0.0886 0.4932
Li3 0.2791 0.2791 0.8993
Li4 0.7209 0.7209 0.1007
Li5 0.9114 0.9114 0.5068
Li6 0.9309 0.9309 0.8609
Zn1 0.2910 0.2910 0.6315
Zn2 0.7090 0.7090 0.3685
Ga1 0.0867 0.0867 0.8114
Ga2 0.9133 0.9133 0.1886
```

Results
Final energy = -2.0746 eV/atom
V = 173.29 Å³ per cell
Total magnetic moment = 0.0 μB per cell
DOS(E_F) = 1.4 states/eV/f.u.
Excess energy over the best structure of this formula in the dataset = 0.187 eV/atom

Entry 5:
LiZnGa2: optimized geometry, PBE.

```
data_LiZnGa2
_symmetry_space_group_name_H-M 'P 1'
_symmetry_Int_Tables_number 1
_cell_length_a 3.1640
_cell_length_b 4.3361
_cell_length_c 11.2634
_cell_angle_alpha 90.00
_cell_angle_beta 90.00
_cell_angle_gamma 90.00
loop_
_symmetry_equiv_pos_as_xyz
'x,y,z'
loop_
_atom_site_label
_atom_site_fract_x
_atom_site_fract_y
_atom_site_fract_z
Li1 0.0000 0.0000 0.0000
Li2 0.5000 0.5000 0.5000
Zn1 0.0000 0.0000 0.5000
Zn2 0.5000 0.5000 0.0000
Ga1 0.0000 0.0000 0.2782
Ga2 0.0000 0.0000 0.7218
Ga3 0.5000 0.5000 0.2218
Ga4 0.5000 0.5000 0.7782
```

Results
Final energy = -2.2609 eV/atom
V = 154.53 Å³ per cell
Total magnetic moment = 0.0 μB per cell
DOS(E_F) = 1.6 states/eV/f.u.

Entry 6:
Li3Zn2Ga5: optimized geometry, PBE.

```
data_Li3Zn2Ga5
_symmetry_space_group_name_H-M 'P 1'
_symmetry_Int_Tables_number 1
_cell_length_a 8.6067
_cell_length_b 8.6067
_cell_length_c 8.6067
_cell_angle_alpha 100.72
_cell_angle_beta 91.68
_cell_angle_gamma 141.69
loop_
_symmetry_equiv_pos_as_xyz
'x,y,z'
loop_
_atom_site_label
_atom_site_fract_x
_atom_site_fract_y
_atom_site_fract_z
Li1 0.2348 0.1203 0.3551
Li2 0.2500 0.2500 0.0000
Li3 0.2652 0.6203 0.8855
Li4 0.7348 0.3797 0.1145
Li5 0.7500 0.7500 0.0000
Li6 0.7652 0.8797 0.6449
Zn1 0.1521 0.8687 0.0208
Zn2 0.3479 0.3687 0.7166
Zn3 0.6521 0.6313 0.2834
Zn4 0.8479 0.1313 0.9792
Ga1 0.1442 0.3717 0.5159
Ga2 0.2500 0.0133 0.7633
Ga3 0.2500 0.4867 0.2367
Ga4 0.2500 0.7500 0.5000
Ga5 0.3558 0.8717 0.2275
Ga6 0.6442 0.1283 0.7725
Ga7 0.7500 0.2500 0.5000
Ga8 0.7500 0.5133 0.7633
Ga9 0.7500 0.9867 0.2367
Ga10 0.8558 0.6283 0.4841
```

Results
Final energy = -2.4354 eV/atom
V = 371.89 Å³ per cell
Total magnetic moment = 0.0 μB per cell
DOS(E_F) = 2.8 states/eV/f.u.
Excess energy over the best structure of this formula in the dataset = 0.000 eV/atom

| no. | energy of formation (eV per atom) |
| --- | --- |
| 1 | -0.13 |
| 2 | 0.03 |
| 3 | -0.10 |
| 4 | -0.07 |
| 5 | 0.05 |
| 6 | -0.09 |